[1]
The following is a GGA-PBEsol calculation of a geometry-optimized FeOs2Cl structure, from Alexandria via LeMat-Bulk.

The value obtained for the total energy is -7.7696 eV/atom. As for the density of states at the Fermi level: 3.64 states/eV per cell. Its calculated density is 14.1 g cm⁻³. The volume comes out at 13.88 Å³/atom. Its symmetry is F-43m (216). The calculation puts the excess energy over the best structure of this formula in the dataset at 0.4716 eV/atom.

```
4
Lattice="4.282 0.000 0.000 2.141 3.708 0.000 2.141 1.236 3.496" Properties=species:S:1:pos:R:3 pbc="T T T"
Os 6.423 3.708 2.622
Os 0.000 0.000 0.000
Cl 4.282 2.472 1.748
Fe 2.141 1.236 0.874
```


[2]
The following is a GGA-PBEsol calculation of a geometry-optimized Fe2OsCl structure, from Alexandria via LeMat-Bulk.

The value obtained for the total energy is -7.7297 eV/atom. As for the density of states at the Fermi level: 3.76 states/eV per cell. Its calculated density is 11.0 g cm⁻³. The volume comes out at 12.77 Å³/atom. Its symmetry is R-3m (166). The calculation puts the excess energy over the best structure of this formula in the dataset at 0.0000 eV/atom.

```
4
Lattice="2.753 0.000 0.000 1.377 2.384 0.000 1.377 0.795 7.781" Properties=species:S:1:pos:R:3 pbc="T T T"
Cl 0.000 0.000 0.000
Fe 1.377 0.795 1.875
Os 2.753 1.589 3.890
Fe 4.130 2.384 5.906
```


[3]
The following is a GGA-PBEsol calculation of a geometry-optimized FeOs2Cl structure, from Alexandria via LeMat-Bulk.

The value obtained for the total energy is -7.9001 eV/atom. As for the density of states at the Fermi level: 4.01 states/eV per cell. Its calculated density is 14.8 g cm⁻³. The volume comes out at 13.25 Å³/atom. Its symmetry is Imm2 (44). The calculation puts the excess energy over the best structure of this formula in the dataset at 0.3411 eV/atom.

```
4
Lattice="2.784 0.000 0.000 0.000 4.350 0.000 -1.392 -2.175 4.377" Properties=species:S:1:pos:R:3 pbc="T T T"
Os 1.392 0.000 2.306
Cl 1.392 2.175 0.015
Fe 0.000 2.175 2.004
Os 0.000 0.000 0.052
```


[4]
The following is a GGA-PBEsol calculation of a geometry-optimized FeOsCl2 structure, from Alexandria via LeMat-Bulk.

The value obtained for the total energy is -5.0341 eV/atom. As for the density of states at the Fermi level: 4.81 states/eV per cell. Its calculated density is 8.9 g cm⁻³. The volume comes out at 14.79 Å³/atom. Its symmetry is F-43m (216). The calculation puts the excess energy over the best structure of this formula in the dataset at 0.4946 eV/atom.

```
4
Lattice="4.374 0.000 0.000 2.187 3.788 0.000 2.187 1.263 3.571" Properties=species:S:1:pos:R:3 pbc="T T T"
Os 6.561 3.788 2.678
Cl 0.000 0.000 0.000
Fe 4.374 2.525 1.786
Cl 2.187 1.263 0.893
```


[5]
The following is a GGA-PBEsol calculation of a geometry-optimized FeOs2Cl structure, from Alexandria via LeMat-Bulk.

The value obtained for the total energy is -8.2412 eV/atom. As for the density of states at the Fermi level: 4.39 states/eV per cell. Its calculated density is 14.5 g cm⁻³. The volume comes out at 13.51 Å³/atom. Its symmetry is R-3m (166). The calculation puts the excess energy over the best structure of this formula in the dataset at 0.0000 eV/atom.

```
4
Lattice="-2.669 -0.316 0.615 -1.721 -1.096 -1.854 0.109 -7.959 2.555" Properties=species:S:1:pos:R:3 pbc="T T T"
Os -3.193 -7.116 1.022
Fe 0.000 0.000 0.000
Os -1.089 -2.255 0.294
Cl -2.141 -4.686 0.658
```


[6]
The following is a GGA-PBEsol calculation of a geometry-optimized FeOsCl2 structure, from Alexandria via LeMat-Bulk.

The value obtained for the total energy is -5.2655 eV/atom. As for the density of states at the Fermi level: 3.94 states/eV per cell. Its calculated density is 9.5 g cm⁻³. The volume comes out at 13.85 Å³/atom. Its symmetry is P4/mmm (123). The calculation puts the excess energy over the best structure of this formula in the dataset at 0.2632 eV/atom.

```
4
Lattice="-2.391 -1.632 -0.655 1.745 -1.025 -3.817 1.872 -3.460 1.785" Properties=species:S:1:pos:R:3 pbc="T T T"
Fe 0.613 -3.058 -1.343
Cl 0.872 -0.513 -1.908
Os -1.196 -0.816 -0.327
Cl 0.936 -1.730 0.893
```


[7]
The following is a GGA-PBEsol calculation of a geometry-optimized Fe2OsCl structure, from Alexandria via LeMat-Bulk.

The value obtained for the total energy is -6.9809 eV/atom. As for the density of states at the Fermi level: 6.03 states/eV per cell. Its calculated density is 10.4 g cm⁻³. The volume comes out at 13.50 Å³/atom. Its symmetry is I-4m2 (119). The calculation puts the excess energy over the best structure of this formula in the dataset at 0.7489 eV/atom.

```
4
Lattice="-2.847 2.021 0.821 -1.222 -0.359 -3.352 -0.082 -4.275 2.405" Properties=species:S:1:pos:R:3 pbc="T T T"
Cl -1.669 -1.901 -1.106
Os -2.034 0.831 -1.266
Fe 0.000 0.000 0.000
Fe -2.481 -0.712 0.980
```


[8]
The following is a GGA-PBEsol calculation of a geometry-optimized FeOs2Cl structure, from Alexandria via LeMat-Bulk.

The value obtained for the total energy is -7.8366 eV/atom. As for the density of states at the Fermi level: 3.93 states/eV per cell. Its calculated density is 13.9 g cm⁻³. The volume comes out at 14.07 Å³/atom. Its symmetry is C2/m (12). The calculation puts the excess energy over the best structure of this formula in the dataset at 0.4046 eV/atom.

```
4
Lattice="2.774 -0.003 0.000 -0.165 4.606 0.000 -1.304 -2.301 4.405" Properties=species:S:1:pos:R:3 pbc="T T T"
Os -0.652 -1.151 2.203
Fe 1.387 -0.001 0.000
Os 0.652 1.151 2.203
Cl -0.083 2.303 0.000
```